{"formula": "Ta2ReP", "functional": "PBE-GGA", "state": "relaxed", "formation_enthalpy_0k_ev_per_atom": -0.2329, "sg": "P4/mmm (123)", "e_above_lowest_polymorph_mev_per_atom": 206, "e_tot_ev_per_atom": -10.624, "lattice": [[3.267, 0.000, 0.000], [0.000, 3.267, 0.000], [0.000, 0.000, 5.935]], "species": ["Ta", "P", "Re", "Ta"], "frac_coords": [[0.000, 0.000, 0.762], [0.500, 0.500, 0.000], [0.500, 0.500, 0.500], [0.000, 0.000, 0.238]]}